A relaxed structure of BaMg2TlIr, computed with GGA-PBE.

- ΔH_f (0 K): -231.3 meV per atom
- E: -3.50 eV/atom
- SG: P4/mmm (123)
- DOS(E_F): 3.4 states/eV per cell
- V: 28.20 Å³/atom

Cell: 5.1480 5.1480 5.3203 Å, 90.00 90.00 90.00°
Fractional positions:
Ba1 0.0000 0.0000 0.0000
Mg1 0.0000 0.5000 0.5000
Mg2 0.5000 0.0000 0.5000
Tl1 0.5000 0.5000 0.0000
Ir1 0.5000 0.5000 0.5000

A relaxed structure of YCuGe, computed with GGA-PBE.

- ΔH_f (0 K): -433.8 meV per atom
- E: -5.49 eV/atom
- SG: P1 (1)
- DOS(E_F): 2.7 states/eV per cell
- V: 20.58 Å³/atom

Cell: 4.2545 5.5066 5.8302 Å, 79.36 89.72 67.30°
Fractional positions:
Y1 0.0000 0.0000 0.0000
Y2 0.2532 0.4891 0.5656
Cu1 0.3104 0.3772 0.0694
Cu2 0.5288 0.9404 0.3767
Ge1 0.7119 0.5738 0.1529
Ge2 0.9442 0.1085 0.4881

A relaxed structure of PuZrNpN3, computed with GGA-PBE.

- E: -11.10 eV/atom
- Raw formation energy: -968 meV per atom
- SG: P2_1/m (11)
- DOS(E_F): 18.1 states/eV per cell
- V: 16.88 Å³/atom

Cell: 6.7367 3.4383 8.8833 Å, 90.00 100.19 90.00°
Fractional positions:
Pu1 0.1643 0.2500 0.1359
Pu2 0.8357 0.7500 0.8641
Zr1 0.3569 0.7500 0.8647
Zr2 0.6431 0.2500 0.1353
Np1 0.0428 0.2500 0.6013
Np2 0.9572 0.7500 0.3987
N1 0.1105 0.2500 0.8654
N2 0.2391 0.7500 0.6185
N3 0.4058 0.7500 0.1221
N4 0.5942 0.2500 0.8779
N5 0.7609 0.2500 0.3815
N6 0.8895 0.7500 0.1346

A relaxed structure of CoCuPt2, computed with GGA-PBE.

- ΔH_f (0 K): -87.4 meV per atom
- E: -5.91 eV/atom
- SG: Cmmm (65)
- DOS(E_F): 4.7 states/eV per cell
- V: 13.78 Å³/atom

Cell: 4.5824 4.5824 2.7309 Å, 90.00 90.00 106.03°
Fractional positions:
Co1 0.0000 0.0000 0.0000
Cu1 0.5000 0.5000 0.0000
Pt1 0.0000 0.5000 0.5000
Pt2 0.5000 0.0000 0.5000

A relaxed structure of Sr2NiSb2H4, computed with GGA-PBE.

- E: -3.63 eV/atom
- SG: I4/mmm (139)
- DOS(E_F): 6.2 states/eV per cell
- V: 19.03 Å³/atom

Cell: 6.1490 6.1490 6.1490 Å, 116.89 116.89 95.49°
Fractional positions:
Sr1 0.2500 0.7500 0.5000
Sr2 0.7500 0.2500 0.5000
Ni1 0.0000 0.0000 0.0000
Sb1 0.3277 0.3277 0.0000
Sb2 0.6723 0.6723 0.0000
H1 0.1695 0.1695 0.3389
H2 0.1695 0.8305 0.0000
H3 0.8305 0.1695 0.0000
H4 0.8305 0.8305 0.6611

A relaxed structure of LaEr2Sn, computed with GGA-PBE.

- ΔH_f (0 K): -309.3 meV per atom
- E: -4.82 eV/atom
- SG: Cmcm (63)
- DOS(E_F): 8.0 states/eV per cell
- V: 30.56 Å³/atom

Cell: 6.9945 6.9945 7.0535 Å, 90.00 90.00 134.88°
Fractional positions:
La1 0.0663 0.9337 0.7500
La2 0.9337 0.0663 0.2500
Er1 0.3692 0.6308 0.5230
Er2 0.3692 0.6308 0.9770
Er3 0.6308 0.3692 0.0230
Er4 0.6308 0.3692 0.4770
Sn1 0.1832 0.8168 0.2500
Sn2 0.8168 0.1832 0.7500